# Cs4Cu3Bi9S17, relaxed, DFT PBE
data_Cs4Cu3Bi9S17
_chemical_formula_sum 'Cs8 Cu6 Bi18 S34'
_symmetry_space_group_name_H-M 'P 1 21/m 1'
_symmetry_Int_Tables_number 11
_cell_length_a 20.174
_cell_length_b 4.072
_cell_length_c 22.502
_cell_angle_alpha 90.00
_cell_angle_beta 96.83
_cell_angle_gamma 90.00
loop_
_symmetry_equiv_pos_as_xyz
'x,y,z'
'-x,-y,-z'
'-x,y+1/2,-z'
'x,-y+1/2,z'
loop_
_atom_site_label
_atom_site_type_symbol
_atom_site_fract_x
_atom_site_fract_y
_atom_site_fract_z
Cs1 Cs 0.008 0.250 0.107
Cs2 Cs 0.181 0.250 0.654
Cs3 Cs 0.382 0.750 0.153
Cs4 Cs 0.400 0.750 0.554
Cu1 Cu 0.142 0.750 0.821
Cu2 Cu 0.186 0.750 0.106
Cu3 Cu 0.494 0.250 0.689
Bi1 Bi 0.025 0.750 0.300
Bi2 Bi 0.075 0.250 0.471
Bi3 Bi 0.187 0.250 0.991
Bi4 Bi 0.197 0.250 0.242
Bi5 Bi 0.224 0.750 0.408
Bi6 Bi 0.273 0.250 0.857
Bi7 Bi 0.386 0.250 0.353
Bi8 Bi 0.395 0.750 0.755
Bi9 Bi 0.426 0.750 0.952
S1 S 0.016 0.250 0.576
S2 S 0.058 0.750 0.740
S3 S 0.103 0.750 0.208
S4 S 0.108 0.750 0.022
S5 S 0.127 0.250 0.357
S6 S 0.136 0.250 0.874
S7 S 0.167 0.750 0.512
S8 S 0.235 0.250 0.134
S9 S 0.248 0.750 0.774
S10 S 0.284 0.750 0.952
S11 S 0.288 0.750 0.294
S12 S 0.310 0.250 0.448
S13 S 0.370 0.250 0.675
S14 S 0.414 0.250 0.856
S15 S 0.434 0.250 0.036
S16 S 0.461 0.750 0.406
S17 S 0.473 0.250 0.260
# Volume, Å³/cell: 1835.5
# Mass density, Mg/m³: 5.696
# VASP energy, Ry per atom: -0.311